Here is La8PRh3Br4 after structural relaxation from Alexandria. Energies are from PBE.

The calculation puts the formation energy without anion corrections at -1.2273 eV/atom. Its density is 6.08 g cm⁻³. As for the final energy: -93.21 eV per formula unit.

It has space group R-3m (No. 166, hexagonal axes), with a = 8.4681 Å, b = 8.4681 Å, c = 23.3767 Å, α = 90.00°, β = 90.00° and γ = 120.00°. The inequivalent atoms are La at (0.0000, 0.0000, 0.2332), La at (0.0070, 0.5035, 0.7670), P at (0.0000, 0.0000, 0.5000), Rh at (0.0000, 0.5000, 0.5000), Br at (0.0000, 0.0000, 0.0000) and Br at (0.0000, 0.5000, 0.0000).